No. 1
A relaxed LiAu2F8 crystal, computed with PBE-GGA.

Unit cell a=5.259 b=5.678 c=6.574 alpha=125.38 beta=90.01 gamma=96.88
Site moments in Bohr magnetons follow the coordinates.
Sites, in units of the cell vectors:
F 0.238 0.316 0.361  0.05
F 0.242 0.902 0.451  0.09
F 0.758 0.098 0.549  0.09
F 0.761 0.685 0.045  0.05
F 0.737 0.254 0.126  0.06
F 0.239 0.315 0.955  0.05
F 0.263 0.746 0.874  0.06
Au 0.250 0.324 0.662  0.19
F 0.762 0.684 0.639  0.05
Li 0.000 0.000 0.000  0.00
Au 0.750 0.676 0.338  0.19

Computed properties:
Formation energy from raw total energies ... -14.5 eV/f.u.
Relative energy among the computed polymorphs ... 0.0 meV/atom
E_tot ... -3.449 eV/atom
Total moment ... 0.95 μB/cell
Fermi-level density of states ... 1.39 states/eV per atom


No. 2
A relaxed AlSi2Te crystal, computed with PBE-GGA.

Unit cell a=4.776 b=4.776 c=4.771 alpha=70.51 beta=70.51 gamma=109.46
Sites, in units of the cell vectors:
Al 0.000 0.500 0.500
Si 0.500 0.500 0.000
Si 0.000 0.000 0.000
Te 0.500 0.000 0.500

Computed properties:
Formation energy from raw total energies ... 1.3 eV/f.u.
Relative energy among the computed polymorphs ... 182.6 meV/atom
E_tot ... -4.116 eV/atom
Total moment ... 0.00 μB/cell
Fermi-level density of states ... 0.59 states/eV per atom


No. 3
A relaxed LiRe3Hg crystal, computed with PBE-GGA.

Unit cell a=4.966 b=4.966 c=4.966 alpha=90.00 beta=90.00 gamma=90.00
Site moments in Bohr magnetons follow the coordinates.
Sites, in units of the cell vectors:
Li 0.500 0.500 0.500  -0.01
Re 0.500 0.000 0.000  0.85
Re 0.000 0.000 0.500  1.29
Re 0.000 0.500 0.000  0.94
Hg 0.000 0.000 0.000  0.03

Computed properties:
Energy of formation from the pure elements ... 3.19 eV/atom
Relative energy among the computed polymorphs ... 1574.9 meV/atom
E_tot ... -4.717 eV/atom
Total moment ... 3.47 μB/cell
Fermi-level density of states ... 1.60 states/eV per atom


No. 4
A relaxed Y8Er3Th2 crystal, computed with PBE-GGA.

Unit cell a=13.061 b=8.719 c=19.778 alpha=109.39 beta=75.51 gamma=156.28
Sites, in units of the cell vectors:
Er 0.000 0.000 0.000
Y 0.126 0.806 0.463
Y 0.878 0.644 0.239
Y 0.272 0.990 0.889
Er 0.751 0.166 0.728
Er 0.500 0.000 0.500
Y 0.084 0.796 0.062
Y 0.247 0.380 0.577
Y 0.621 0.575 0.613
Y 0.728 0.010 0.111
Th 0.432 0.954 0.085
Y 0.122 0.356 0.761
Th 0.568 0.046 0.915
Y 0.874 0.194 0.537
Y 0.148 0.302 0.178
Th 0.987 0.753 0.647
Er 0.530 0.494 0.212
Y 0.639 0.047 0.315
Th 0.013 0.247 0.353
Y 0.379 0.425 0.387
Y 0.753 0.620 0.423
Y 0.916 0.204 0.938
Er 0.249 0.834 0.272
Er 0.470 0.506 0.788
Y 0.361 0.953 0.685
Y 0.852 0.698 0.822

Computed properties:
Energy of formation from the pure elements ... 0.12 eV/atom
Relative energy among the computed polymorphs ... 0.0 meV/atom
E_tot ... -6.056 eV/atom
Total moment ... 0.00 μB/cell
Fermi-level density of states ... 1.47 states/eV per atom


No. 5
A relaxed CdHgS2 crystal, computed with PBE-GGA.

Unit cell a=5.950 b=4.219 c=4.218 alpha=90.04 beta=89.99 gamma=89.98
Sites, in units of the cell vectors:
Cd 0.874 0.234 0.049
Hg 0.374 0.735 0.549
S 0.120 0.235 0.549
S 0.628 0.735 0.049

Computed properties:
Formation energy from raw total energies ... -1.5 eV/f.u.
Relative energy among the computed polymorphs ... 0.5 meV/atom
E_tot ... -2.751 eV/atom
Total moment ... 0.00 μB/cell
Fermi-level density of states ... 0.00 states/eV per atom


No. 6
A relaxed KPIN2 crystal, computed with PBE-GGA.

Unit cell a=4.100 b=4.100 c=5.971 alpha=90.00 beta=90.00 gamma=90.00
Site moments in Bohr magnetons follow the coordinates.
Sites, in units of the cell vectors:
N 0.500 0.000 0.000  0.72
K 0.500 0.500 0.500  0.00
P 0.000 0.000 0.000  -0.04
N 0.000 0.500 0.000  0.72
I 0.000 0.000 0.500  0.05

Computed properties:
Formation energy from raw total energies ... 5.5 eV/f.u.
Relative energy among the computed polymorphs ... 0.0 meV/atom
E_tot ... -3.840 eV/atom
Total moment ... 2.07 μB/cell
Fermi-level density of states ... 0.41 states/eV per atom